Record 1
An optimized crystal structure of RbLiHIrF, computed with PBE.

a b c (Å): 2.892 3.320 15.384
angles (deg): 90.00 90.00 90.00
Sites, in units of the cell vectors:
H 0.000 0.500 0.179
H 0.000 0.000 0.679
Ir 0.000 0.500 0.648
Ir 0.000 0.000 0.148
F 0.000 0.500 0.359
F 0.000 0.000 0.859
Rb 0.500 0.500 0.967
Rb 0.500 0.000 0.467
Li 0.500 0.000 0.774
Li 0.500 0.500 0.274

For the total moment, the calculation gives 0.00 μB/atom. The distance to the lowest polymorph of the same formula comes out at 0.003 eV per atom.

=====

Record 2
An optimized crystal structure of ScSb2Rh, computed with PBE.

a b c (Å): 4.934 4.934 4.934
angles (deg): 60.00 60.00 60.00
Sites, in units of the cell vectors:
Sb 0.000 0.000 0.000
Sb 0.250 0.250 0.250
Sc 0.750 0.750 0.750
Rh 0.500 0.500 0.500

For the total moment, the calculation gives 0.00 μB/atom. The calculation puts the uncorrected formation energy at -0.213 eV/atom.

=====

Record 3
An optimized crystal structure of ZnCoTe2I, computed with PBE.

a b c (Å): 5.258 5.258 5.651
angles (deg): 90.00 90.00 90.00
Last column: magnetic moment on the atom in μB.
Sites, in units of the cell vectors:
Co 0.500 0.500 0.500  2.26
Te 0.500 0.000 0.000  0.11
Te 0.000 0.500 0.000  0.11
I 0.000 0.000 0.500  0.11
Zn 0.000 0.000 0.000  0.00

For the total moment, the calculation gives 0.58 μB/atom. The calculation puts the uncorrected formation energy at 0.912 eV/atom. The distance to the lowest polymorph of the same formula comes out at 0.483 eV per atom.

=====

Record 4
An optimized crystal structure of Ce2MgAu, computed with PBE.

a b c (Å): 3.108 3.108 11.911
angles (deg): 82.50 82.50 60.00
Sites, in units of the cell vectors:
Mg 0.000 0.000 0.000
Ce 0.093 0.093 0.721
Ce 0.907 0.907 0.279
Au 0.500 0.500 0.500

For the total moment, the calculation gives 0.00 μB/atom. The distance to the lowest polymorph of the same formula comes out at 0.308 eV per atom.

=====

Record 5
An optimized crystal structure of CsTeO, computed with PBE.

a b c (Å): 3.618 5.357 9.136
angles (deg): 90.00 90.01 90.00
Sites, in units of the cell vectors:
Cs 0.312 0.216 0.755
Cs 0.311 0.716 0.038
O 0.811 0.216 0.043
O 0.812 0.716 0.750
Te 0.812 0.716 0.536
Te 0.812 0.216 0.257

For the total moment, the calculation gives 0.00 μB/atom. The calculation puts the uncorrected formation energy at -0.902 eV/atom.